Material: BaLiHg3Pb
Method: DFT, PBE
State: optimized geometry

Geometry as CIF:
```
data_BaLiHg3Pb
_chemical_formula_sum 'Ba2 Li2 Hg6 Pb2'
_symmetry_space_group_name_H-M 'P 1'
_symmetry_Int_Tables_number 1
_cell_length_a 7.144
_cell_length_b 6.984
_cell_length_c 7.877
_cell_angle_alpha 116.32
_cell_angle_beta 90.00
_cell_angle_gamma 90.00
loop_
_symmetry_equiv_pos_as_xyz
'x,y,z'
loop_
_atom_site_label
_atom_site_type_symbol
_atom_site_fract_x
_atom_site_fract_y
_atom_site_fract_z
_atom_site_occupancy
Hg1 Hg 0.500 0.734 0.000 1
Hg2 Hg 0.750 0.863 0.726 1
Hg3 Hg 0.250 0.137 0.274 1
Hg4 Hg 0.000 0.734 0.000 1
Hg5 Hg 0.000 0.266 0.000 1
Hg6 Hg 0.500 0.266 0.000 1
Li1 Li 0.250 0.943 0.885 1
Li2 Li 0.750 0.057 0.115 1
Pb1 Pb 0.750 0.644 0.288 1
Pb2 Pb 0.250 0.356 0.712 1
Ba1 Ba 0.250 0.696 0.393 1
Ba2 Ba 0.750 0.304 0.607 1
```

Properties
* DOS at the Fermi energy: 0.3806 states/eV/atom
* M_tot: 0.00 μB per cell
* energy relative to the elements: -0.285 eV/atom
* space-group type: Cmcm (63)
* uncorrected energy: -20.3 eV per cell